Below is a geometry-optimized CrFe2Re structure, with properties calculated at the PBE level.

a b c (Å): 3.623 3.631 3.631
angles (deg): 90.00 90.00 90.00
Sites, in units of the cell vectors:
Re1 0.500 0.500 0.000
Fe1 0.000 0.000 0.000
Fe2 0.000 0.500 0.500
Cr1 0.500 0.000 0.500

Properties
The value obtained for the density of states at the Fermi level is 4.2 states/eV/f.u. For the electronic total energy, the calculation gives -9.667 eV per atom. The crystal system is tetragonal.